11
Lattice="6.2669 0.0000 0.0000 -3.1335 6.9739 -0.0893 0.0000 -2.7162 8.3662" Properties=species:S:1:pos:R:3 comment="Pm5Te5As PBE relaxed" formation_energy_uncorrected_ev_per_atom=-1.481 space_group="C2/m, No. 12" pbc="T T T"
Pm 0.0000 1.3267 2.6474
Pm 0.0000 -0.0697 6.9983
Te 0.0000 -1.3581 4.1831
Pm 3.1335 2.9311 5.6294
As 0.0000 0.0000 0.0000
Te 0.0000 4.2192 1.4161
Pm 3.1335 0.0000 0.0000
Te 3.1335 0.0386 6.8607
Te 3.1335 1.4365 2.7897
Pm 3.1335 4.3274 1.2785
Te 0.0000 2.8213 5.4871